# 1
A geometry-optimized BaMn2Ni structure, computed with GGA-PBEsol.

Summary:
Energy of formation, eV per formula unit: 2.6
D(E_F), states/eV/f.u.: 4.2
Polymorph energy (0 for the lowest one), meV/atom: 263
E, hartree per atom: -0.23172

Unit cell a=3.300 b=3.300 c=7.235 alpha=90.00 beta=90.00 gamma=90.00
Element x y z (fractional)
Ba 0.000 0.000 0.000
Mn 0.000 0.000 0.554
Mn 0.500 0.500 0.347
Ni 0.500 0.500 0.673


# 2
A geometry-optimized Si17NO34 structure, computed with GGA-PBEsol.

Summary:
Formation energy without anion corrections, eV/atom: -2.640
D(E_F), states/eV/f.u.: 0.0
E, hartree per atom: -0.29822

Unit cell a=14.103 b=14.103 c=14.103 alpha=60.00 beta=60.00 gamma=60.00
Element x y z (fractional)
Si 0.006 0.236 0.629
Si 0.006 0.629 0.236
Si 0.006 0.629 0.629
Si 0.125 0.125 0.125
Si 0.152 0.783 0.783
Si 0.217 0.217 0.217
Si 0.217 0.217 0.848
Si 0.217 0.848 0.217
Si 0.236 0.006 0.629
Si 0.236 0.629 0.006
Si 0.236 0.629 0.629
Si 0.371 0.371 0.764
Si 0.371 0.371 0.994
Si 0.371 0.764 0.371
Si 0.371 0.764 0.994
Si 0.371 0.994 0.371
Si 0.371 0.994 0.764
Si 0.629 0.006 0.236
Si 0.629 0.006 0.629
Si 0.629 0.236 0.006
Si 0.629 0.236 0.629
Si 0.629 0.629 0.006
Si 0.629 0.629 0.236
Si 0.764 0.371 0.371
Si 0.764 0.371 0.994
Si 0.764 0.994 0.371
Si 0.783 0.152 0.783
Si 0.783 0.783 0.152
Si 0.783 0.783 0.783
Si 0.848 0.217 0.217
Si 0.875 0.875 0.875
Si 0.994 0.371 0.371
Si 0.994 0.371 0.764
Si 0.994 0.764 0.371
N 0.375 0.375 0.375
N 0.625 0.625 0.625
O 0.000 0.315 0.500
O 0.000 0.315 0.685
O 0.000 0.500 0.315
O 0.000 0.500 0.685
O 0.000 0.685 0.315
O 0.000 0.685 0.500
O 0.013 0.829 0.829
O 0.107 0.294 0.294
O 0.107 0.294 0.804
O 0.107 0.804 0.294
O 0.124 0.124 0.626
O 0.124 0.626 0.124
O 0.124 0.626 0.626
O 0.171 0.171 0.171
O 0.171 0.171 0.987
O 0.171 0.987 0.171
O 0.196 0.706 0.706
O 0.196 0.706 0.893
O 0.196 0.893 0.706
O 0.294 0.107 0.294
O 0.294 0.107 0.804
O 0.294 0.294 0.107
O 0.294 0.294 0.804
O 0.294 0.804 0.107
O 0.294 0.804 0.294
O 0.315 0.000 0.500
O 0.315 0.000 0.685
O 0.315 0.500 0.000
O 0.315 0.500 0.685
O 0.315 0.685 0.000
O 0.315 0.685 0.500
O 0.374 0.374 0.876
O 0.374 0.876 0.374
O 0.374 0.876 0.876
O 0.500 0.000 0.315
O 0.500 0.000 0.685
O 0.500 0.315 0.000
O 0.500 0.315 0.685
O 0.500 0.685 0.000
O 0.500 0.685 0.315
O 0.626 0.124 0.124
O 0.626 0.124 0.626
O 0.626 0.626 0.124
O 0.685 0.000 0.315
O 0.685 0.000 0.500
O 0.685 0.315 0.000
O 0.685 0.315 0.500
O 0.685 0.500 0.000
O 0.685 0.500 0.315
O 0.706 0.196 0.706
O 0.706 0.196 0.893
O 0.706 0.706 0.196
O 0.706 0.706 0.893
O 0.706 0.893 0.196
O 0.706 0.893 0.706
O 0.804 0.107 0.294
O 0.804 0.294 0.107
O 0.804 0.294 0.294
O 0.829 0.013 0.829
O 0.829 0.829 0.013
O 0.829 0.829 0.829
O 0.876 0.374 0.374
O 0.876 0.374 0.876
O 0.876 0.876 0.374
O 0.893 0.196 0.706
O 0.893 0.706 0.196
O 0.893 0.706 0.706
O 0.987 0.171 0.171


# 3
A geometry-optimized MnBeIr2 structure, computed with GGA-PBEsol.

Summary:
Energy of formation, eV per formula unit: 0.7
D(E_F), states/eV/f.u.: 4.6
E, hartree per atom: -0.30033

Unit cell a=5.896 b=5.896 c=5.896 alpha=90.00 beta=90.00 gamma=90.00
Element x y z (fractional)
Mn 0.000 0.000 0.000
Mn 0.000 0.500 0.500
Mn 0.500 0.000 0.500
Mn 0.500 0.500 0.000
Be 0.250 0.250 0.250
Be 0.250 0.750 0.750
Be 0.750 0.250 0.750
Be 0.750 0.750 0.250
Ir 0.000 0.000 0.500
Ir 0.000 0.500 0.000
Ir 0.250 0.250 0.750
Ir 0.250 0.750 0.250
Ir 0.500 0.000 0.000
Ir 0.500 0.500 0.500
Ir 0.750 0.250 0.250
Ir 0.750 0.750 0.750


# 4
A geometry-optimized AlSi2Au structure, computed with GGA-PBEsol.

Summary:
Formation energy without anion corrections, eV/atom: 0.075
D(E_F), states/eV/f.u.: 1.4
E, hartree per atom: -0.17648

Unit cell a=3.368 b=2.791 c=13.398 alpha=90.00 beta=90.00 gamma=90.00
Element x y z (fractional)
Al 0.000 0.000 0.000
Al 0.000 0.500 0.500
Si 0.000 0.000 0.227
Si 0.000 0.500 0.727
Si 0.500 0.000 0.626
Si 0.500 0.500 0.126
Au 0.500 0.000 0.379
Au 0.500 0.500 0.879


# 5
A geometry-optimized ScCl2 structure, computed with GGA-PBEsol.

Summary:
Formation energy without anion corrections, eV/atom: -1.938
D(E_F), states/eV/f.u.: 0.6
E, hartree per atom: -0.20131

Unit cell a=3.456 b=3.456 c=13.016 alpha=90.00 beta=90.00 gamma=120.00
Element x y z (fractional)
Sc 0.000 0.000 0.250
Sc 0.000 0.000 0.750
Cl 0.333 0.667 0.126
Cl 0.333 0.667 0.374
Cl 0.667 0.333 0.626
Cl 0.667 0.333 0.874


# 6
A geometry-optimized TlBiN2 structure, computed with GGA-PBEsol.

Summary:
Formation energy without anion corrections, eV/atom: 1.133
D(E_F), states/eV/f.u.: 2.9
Polymorph energy (0 for the lowest one), meV/atom: 222
E, hartree per atom: -0.17858

Unit cell a=3.502 b=3.502 c=20.210 alpha=90.00 beta=90.00 gamma=120.00
Element x y z (fractional)
Tl 0.000 0.000 0.000
Tl 0.333 0.667 0.667
Tl 0.667 0.333 0.333
Bi 0.000 0.000 0.500
Bi 0.333 0.667 0.167
Bi 0.667 0.333 0.833
N 0.000 0.000 0.390
N 0.000 0.000 0.610
N 0.333 0.667 0.056
N 0.333 0.667 0.277
N 0.667 0.333 0.723
N 0.667 0.333 0.944


# 7
A geometry-optimized CaNiF3 structure, computed with GGA-PBEsol.

Summary:
Formation energy without anion corrections, eV/atom: -1.979
D(E_F), states/eV/f.u.: 12.4
E, hartree per atom: -0.17615

Unit cell a=4.305 b=4.305 c=4.305 alpha=90.00 beta=90.00 gamma=90.00
Element x y z (fractional)
Ca 0.000 0.000 0.000
Ni 0.500 0.500 0.500
F 0.000 0.000 0.500
F 0.000 0.500 0.000
F 0.500 0.000 0.000


# 8
A geometry-optimized Fe11Co5 structure, computed with GGA-PBEsol.

Summary:
Energy of formation, eV per formula unit: -0.1
D(E_F), states/eV/f.u.: 8.2
E, hartree per atom: -0.31551

Unit cell a=5.604 b=5.604 c=5.586 alpha=90.00 beta=90.00 gamma=90.00
Element x y z (fractional)
Fe 0.000 0.000 0.000
Fe 0.000 0.000 0.500
Fe 0.250 0.250 0.250
Fe 0.250 0.250 0.750
Fe 0.250 0.750 0.250
Fe 0.250 0.750 0.750
Fe 0.500 0.500 0.000
Fe 0.750 0.250 0.250
Fe 0.750 0.250 0.750
Fe 0.750 0.750 0.250
Fe 0.750 0.750 0.750
Co 0.000 0.500 0.000
Co 0.000 0.500 0.500
Co 0.500 0.000 0.000
Co 0.500 0.000 0.500
Co 0.500 0.500 0.500


Calculated density values, unit g/cm3, following the record order: 6.45; 1.73; 14.53; 7.39; 2.86; 10.24; 3.24; 8.61.